(1)
The following is a PBE calculation of a relaxed structure of TaAg2P, from the Alexandria database.

Unit cell a=9.4369 b=9.4369 c=9.4369 alpha=17.89 beta=17.89 gamma=17.89
Atoms (fractional coordinates):
Ta  0.7557  0.7557  0.7557
Ag  0.2481  0.2481  0.2481
Ag  0.0014  0.0014  0.0014
P  0.4948  0.4948  0.4948

Summary:
Total magnetization   0.0 μB/cell
Formation enthalpy at 0 K   116 meV/atom
Theoretical density   10.26 Mg/m³

=====

(2)
The following is a PBE calculation of a relaxed structure of TaAgP, from the Alexandria database.

Unit cell a=5.6108 b=5.6108 c=5.6108 alpha=147.21 beta=147.21 gamma=47.05
Atoms (fractional coordinates):
Ta  0.6967  0.6967  0.0000
P  0.3070  0.3070  0.0000
Ag  0.9964  0.9964  0.0000

Summary:
Total magnetization   0.0 μB/cell
Energy relative to the lowest polymorph listed for this composition   0.000 eV/atom
Formation enthalpy at 0 K   -6 meV/atom
Theoretical density   10.29 Mg/m³

=====

(3)
The following is a PBE calculation of a relaxed structure of TaAg2P, from the Alexandria database.

Unit cell a=5.3904 b=5.3904 c=2.8334 alpha=90.00 beta=90.00 gamma=122.47
Atoms (fractional coordinates):
Ag  0.5000  0.5000  0.0000
Ag  0.0000  0.0000  0.0000
P  0.5000  0.0000  0.5000
Ta  0.0000  0.5000  0.5000

Summary:
Total magnetization   0.0 μB/cell
Formation enthalpy at 0 K   308 meV/atom
Theoretical density   10.22 Mg/m³

=====

(4)
The following is a PBE calculation of a relaxed structure of TaAgP, from the Alexandria database.

Unit cell a=4.1993 b=4.1993 c=4.1993 alpha=60.00 beta=60.00 gamma=60.00
Atoms (fractional coordinates):
P  0.7500  0.7500  0.7500
Ag  0.5000  0.5000  0.5000
Ta  0.0000  0.0000  0.0000

Summary:
Total magnetization   0.0 μB/cell
Energy relative to the lowest polymorph listed for this composition   0.201 eV/atom
Formation enthalpy at 0 K   195 meV/atom
Theoretical density   10.14 Mg/m³

=====

(5)
The following is a PBE calculation of a relaxed structure of TaAg2P, from the Alexandria database.

Unit cell a=3.2337 b=4.2132 c=4.9577 alpha=90.00 beta=90.00 gamma=90.00
Atoms (fractional coordinates):
Ag  0.0000  0.0000  0.0000
Ag  0.5000  0.5000  0.0000
Ta  0.0000  0.5000  0.5000
P  0.5000  0.0000  0.5000

Summary:
Total magnetization   0.0 μB/cell
Formation enthalpy at 0 K   205 meV/atom
Theoretical density   10.51 Mg/m³

=====

(6)
The following is a PBE calculation of a relaxed structure of TaAg2P, from the Alexandria database.

Unit cell a=3.4226 b=3.2906 c=6.3607 alpha=75.06 beta=90.00 gamma=90.00
Atoms (fractional coordinates):
Ag  0.5000  0.4408  0.2438
Ta  0.5000  0.7145  0.6963
Ag  0.0000  0.0634  0.9987
P  0.0000  0.2813  0.5612

Summary:
Total magnetization   0.0 μB/cell
Formation enthalpy at 0 K   -50 meV/atom
Theoretical density   10.26 Mg/m³

=====

(7)
The following is a PBE calculation of a relaxed structure of TaAgP3, from the Alexandria database.

Unit cell a=4.6494 b=4.6494 c=4.6494 alpha=90.00 beta=90.00 gamma=90.00
Atoms (fractional coordinates):
P  0.5000  0.0000  0.0000
Ta  0.5000  0.5000  0.5000
P  0.0000  0.5000  0.0000
P  0.0000  0.0000  0.5000
Ag  0.0000  0.0000  0.0000

Summary:
Total magnetization   0.0 μB/cell
Energy relative to the lowest polymorph listed for this composition   1.018 eV/atom
Formation enthalpy at 0 K   1488 meV/atom
Theoretical density   6.31 Mg/m³

=====

(8)
The following is a PBE calculation of a relaxed structure of TaAg2P, from the Alexandria database.

Unit cell a=3.2271 b=3.2271 c=6.6657 alpha=90.00 beta=90.00 gamma=90.00
Atoms (fractional coordinates):
P  0.0000  0.0000  0.5456
Ag  0.0000  0.0000  0.9926
Ag  0.5000  0.5000  0.2545
Ta  0.5000  0.5000  0.7073

Summary:
Total magnetization   0.0 μB/cell
Formation enthalpy at 0 K   1 meV/atom
Theoretical density   10.23 Mg/m³

=====

(9)
The following is a PBE calculation of a relaxed structure of TaAg2P2, from the Alexandria database.

Unit cell a=6.7185 b=6.7185 c=3.7662 alpha=90.00 beta=90.00 gamma=90.00
Atoms (fractional coordinates):
Ag  0.6506  0.8494  0.5000
Ag  0.8494  0.3494  0.5000
P  0.1609  0.3391  0.0000
Ta  0.5000  0.5000  0.0000
P  0.8391  0.6609  0.0000
Ag  0.1506  0.6506  0.5000
P  0.6609  0.1609  0.0000
Ag  0.3494  0.1506  0.5000
P  0.3391  0.8391  0.0000
Ta  0.0000  0.0000  0.0000

Summary:
Total magnetization   0.0 μB/cell
Formation enthalpy at 0 K   133 meV/atom
Theoretical density   8.96 Mg/m³

=====

(10)
The following is a PBE calculation of a relaxed structure of TaAgP4, from the Alexandria database.

Unit cell a=5.0536 b=5.0536 c=5.0536 alpha=60.00 beta=60.00 gamma=60.00
Atoms (fractional coordinates):
Ag  0.0000  0.0000  0.0000
P  0.6236  0.6236  0.1293
P  0.6236  0.6236  0.6236
P  0.6236  0.1293  0.6236
P  0.1293  0.6236  0.6236
Ta  0.2500  0.2500  0.2500

Summary:
Total magnetization   0.0 μB/cell
Formation enthalpy at 0 K   599 meV/atom
Theoretical density   7.51 Mg/m³

=====

(11)
The following is a PBE calculation of a relaxed structure of TaAg2P, from the Alexandria database.

Unit cell a=2.9038 b=2.9038 c=8.7157 alpha=90.00 beta=90.00 gamma=106.44
Atoms (fractional coordinates):
Ag  0.5000  0.5000  0.2509
Ta  0.5000  0.5000  0.7303
P  0.0000  0.0000  0.5260
Ag  0.0000  0.0000  0.9928

Summary:
Total magnetization   0.0 μB/cell
Formation enthalpy at 0 K   104 meV/atom
Theoretical density   10.08 Mg/m³

=====

(12)
The following is a PBE calculation of a relaxed structure of TaAgP, from the Alexandria database.

Unit cell a=2.9684 b=2.9684 c=6.7368 alpha=90.00 beta=90.00 gamma=120.00
Atoms (fractional coordinates):
P  0.3333  0.6667  0.3536
Ag  0.0000  0.0000  0.0040
Ta  0.6667  0.3333  0.6425

Summary:
Total magnetization   0.0 μB/cell
Energy relative to the lowest polymorph listed for this composition   0.149 eV/atom
Formation enthalpy at 0 K   144 meV/atom
Theoretical density   10.33 Mg/m³